[1]
Pu2Sn2PbAu2 | GGA-PBE | relaxed

a b c (Å): 9.1039 9.1039 9.1039
angles (deg): 31.19 31.19 31.19
With the nearest neighbours (Å) after each atom.
Sites, in units of the cell vectors:
Pu 0.1396 0.1396 0.1396  3 Au 2.96, 3 Pu 3.16, 1 Sn 3.27
Pu 0.8604 0.8604 0.8604  3 Au 2.96, 3 Pu 3.16, 1 Sn 3.27
Sn 0.2654 0.2654 0.2654  3 Au 2.99, 1 Pu 3.27, 3 Pb 3.33
Sn 0.7346 0.7346 0.7346  3 Au 2.99, 1 Pu 3.27, 3 Pb 3.33
Pb 0.0000 0.0000 0.0000  6 Sn 3.33, 2 Pu 3.62
Au 0.4384 0.4384 0.4384  3 Pu 2.96, 3 Sn 2.99, 1 Au 3.20
Au 0.5616 0.5616 0.5616  3 Pu 2.96, 3 Sn 2.99, 1 Au 3.20

Calculated values
Magnetization ... 1.531 μB per atom
Calculated volume ... 180 Å³/cell
E_form ... -0.215 eV/atom
Space group ... R-3m (166)


[2]
TbPuPbAu | GGA-PBE | relaxed

a b c (Å): 7.5065 7.5065 7.5065
angles (deg): 90.00 90.00 90.00
With the nearest neighbours (Å) after each atom.
Sites, in units of the cell vectors:
Tb 0.0000 0.0000 0.0000  4 Pb 3.25, 4 Au 3.25
Tb 0.0000 0.5000 0.5000  4 Pb 3.25, 4 Au 3.25
Tb 0.5000 0.0000 0.5000  4 Pb 3.25, 4 Au 3.25
Tb 0.5000 0.5000 0.0000  4 Pb 3.25, 4 Au 3.25
Pu 0.0000 0.0000 0.5000  4 Pb 3.25, 4 Au 3.25
Pu 0.0000 0.5000 0.0000  4 Pb 3.25, 4 Au 3.25
Pu 0.5000 0.0000 0.0000  4 Pb 3.25, 4 Au 3.25
Pu 0.5000 0.5000 0.5000  4 Pb 3.25, 4 Au 3.25
Pb 0.2500 0.2500 0.2500  4 Tb 3.25, 4 Pu 3.25
Pb 0.2500 0.7500 0.7500  4 Tb 3.25, 4 Pu 3.25
Pb 0.7500 0.2500 0.7500  4 Tb 3.25, 4 Pu 3.25
Pb 0.7500 0.7500 0.2500  4 Tb 3.25, 4 Pu 3.25
Au 0.2500 0.2500 0.7500  4 Tb 3.25, 4 Pu 3.25
Au 0.2500 0.7500 0.2500  4 Tb 3.25, 4 Pu 3.25
Au 0.7500 0.2500 0.2500  4 Tb 3.25, 4 Pu 3.25
Au 0.7500 0.7500 0.7500  4 Tb 3.25, 4 Pu 3.25

Calculated values
Magnetization ... 1.549 μB per atom
Calculated volume ... 423 Å³/cell
E_form ... -0.413 eV/atom
Space group ... F-43m (216)


[3]
PuThPbAu | GGA-PBE | relaxed

a b c (Å): 7.6071 7.6071 7.6071
angles (deg): 90.00 90.00 90.00
With the nearest neighbours (Å) after each atom.
Sites, in units of the cell vectors:
Pu 0.0000 0.0000 0.0000  4 Pb 3.29, 4 Au 3.29
Pu 0.0000 0.5000 0.5000  4 Pb 3.29, 4 Au 3.29
Pu 0.5000 0.0000 0.5000  4 Pb 3.29, 4 Au 3.29
Pu 0.5000 0.5000 0.0000  4 Pb 3.29, 4 Au 3.29
Th 0.0000 0.0000 0.5000  4 Pb 3.29, 4 Au 3.29
Th 0.0000 0.5000 0.0000  4 Pb 3.29, 4 Au 3.29
Th 0.5000 0.0000 0.0000  4 Pb 3.29, 4 Au 3.29
Th 0.5000 0.5000 0.5000  4 Pb 3.29, 4 Au 3.29
Pb 0.2500 0.2500 0.7500  4 Th 3.29, 4 Pu 3.29
Pb 0.2500 0.7500 0.2500  4 Th 3.29, 4 Pu 3.29
Pb 0.7500 0.2500 0.2500  4 Th 3.29, 4 Pu 3.29
Pb 0.7500 0.7500 0.7500  4 Th 3.29, 4 Pu 3.29
Au 0.2500 0.2500 0.2500  4 Th 3.29, 4 Pu 3.29
Au 0.2500 0.7500 0.7500  4 Th 3.29, 4 Pu 3.29
Au 0.7500 0.2500 0.7500  4 Th 3.29, 4 Pu 3.29
Au 0.7500 0.7500 0.2500  4 Th 3.29, 4 Pu 3.29

Calculated values
Magnetization ... 1.746 μB per atom
Calculated volume ... 440 Å³/cell
E_form ... -0.288 eV/atom
Space group ... F-43m (216)


[4]
PuTlPbAu | GGA-PBE | relaxed

a b c (Å): 7.4570 7.4570 7.4570
angles (deg): 90.00 90.00 90.00
With the nearest neighbours (Å) after each atom.
Sites, in units of the cell vectors:
Pu 0.0000 0.0000 0.0000  4 Tl 3.23, 4 Au 3.23
Pu 0.0000 0.5000 0.5000  4 Tl 3.23, 4 Au 3.23
Pu 0.5000 0.0000 0.5000  4 Tl 3.23, 4 Au 3.23
Pu 0.5000 0.5000 0.0000  4 Tl 3.23, 4 Au 3.23
Tl 0.2500 0.2500 0.7500  4 Pb 3.23, 4 Pu 3.23
Tl 0.2500 0.7500 0.2500  4 Pb 3.23, 4 Pu 3.23
Tl 0.7500 0.2500 0.2500  4 Pb 3.23, 4 Pu 3.23
Tl 0.7500 0.7500 0.7500  4 Pb 3.23, 4 Pu 3.23
Pb 0.0000 0.0000 0.5000  4 Au 3.23, 4 Tl 3.23
Pb 0.0000 0.5000 0.0000  4 Au 3.23, 4 Tl 3.23
Pb 0.5000 0.0000 0.0000  4 Au 3.23, 4 Tl 3.23
Pb 0.5000 0.5000 0.5000  4 Au 3.23, 4 Tl 3.23
Au 0.2500 0.2500 0.2500  4 Pu 3.23, 4 Pb 3.23
Au 0.2500 0.7500 0.7500  4 Pu 3.23, 4 Pb 3.23
Au 0.7500 0.2500 0.7500  4 Pu 3.23, 4 Pb 3.23
Au 0.7500 0.7500 0.2500  4 Pu 3.23, 4 Pb 3.23

Calculated values
Magnetization ... 1.465 μB per atom
Calculated volume ... 415 Å³/cell
E_form ... -0.107 eV/atom
Space group ... F-43m (216)


[5]
YPuPbAu | GGA-PBE | relaxed

a b c (Å): 7.5001 7.5001 7.5001
angles (deg): 90.00 90.00 90.00
With the nearest neighbours (Å) after each atom.
Sites, in units of the cell vectors:
Y 0.0000 0.0000 0.0000  4 Au 3.25, 4 Pb 3.25
Y 0.0000 0.5000 0.5000  4 Au 3.25, 4 Pb 3.25
Y 0.5000 0.0000 0.5000  4 Au 3.25, 4 Pb 3.25
Y 0.5000 0.5000 0.0000  4 Au 3.25, 4 Pb 3.25
Pu 0.0000 0.0000 0.5000  4 Pb 3.25, 4 Au 3.25
Pu 0.0000 0.5000 0.0000  4 Pb 3.25, 4 Au 3.25
Pu 0.5000 0.0000 0.0000  4 Pb 3.25, 4 Au 3.25
Pu 0.5000 0.5000 0.5000  4 Pb 3.25, 4 Au 3.25
Pb 0.2500 0.2500 0.7500  4 Pu 3.25, 4 Y 3.25
Pb 0.2500 0.7500 0.2500  4 Pu 3.25, 4 Y 3.25
Pb 0.7500 0.2500 0.2500  4 Pu 3.25, 4 Y 3.25
Pb 0.7500 0.7500 0.7500  4 Pu 3.25, 4 Y 3.25
Au 0.2500 0.2500 0.2500  4 Pu 3.25, 4 Y 3.25
Au 0.2500 0.7500 0.7500  4 Pu 3.25, 4 Y 3.25
Au 0.7500 0.2500 0.7500  4 Pu 3.25, 4 Y 3.25
Au 0.7500 0.7500 0.2500  4 Pu 3.25, 4 Y 3.25

Calculated values
Magnetization ... 1.551 μB per atom
Calculated volume ... 422 Å³/cell
E_form ... -0.422 eV/atom
Space group ... F-43m (216)


[6]
PuZnPbAu | GGA-PBE | relaxed

a b c (Å): 7.1549 7.1549 7.1549
angles (deg): 90.00 90.00 90.00
With the nearest neighbours (Å) after each atom.
Sites, in units of the cell vectors:
Pu 0.0000 0.0000 0.0000  4 Zn 3.10, 4 Au 3.10
Pu 0.0000 0.5000 0.5000  4 Zn 3.10, 4 Au 3.10
Pu 0.5000 0.0000 0.5000  4 Zn 3.10, 4 Au 3.10
Pu 0.5000 0.5000 0.0000  4 Zn 3.10, 4 Au 3.10
Zn 0.2500 0.2500 0.2500  4 Pb 3.10, 4 Pu 3.10
Zn 0.2500 0.7500 0.7500  4 Pb 3.10, 4 Pu 3.10
Zn 0.7500 0.2500 0.7500  4 Pb 3.10, 4 Pu 3.10
Zn 0.7500 0.7500 0.2500  4 Pb 3.10, 4 Pu 3.10
Pb 0.0000 0.0000 0.5000  4 Au 3.10, 4 Zn 3.10
Pb 0.0000 0.5000 0.0000  4 Au 3.10, 4 Zn 3.10
Pb 0.5000 0.0000 0.0000  4 Au 3.10, 4 Zn 3.10
Pb 0.5000 0.5000 0.5000  4 Zn 3.10, 4 Au 3.10
Au 0.2500 0.2500 0.7500  4 Pb 3.10, 4 Pu 3.10
Au 0.2500 0.7500 0.2500  4 Pb 3.10, 4 Pu 3.10
Au 0.7500 0.2500 0.2500  4 Pb 3.10, 4 Pu 3.10
Au 0.7500 0.7500 0.7500  4 Pb 3.10, 4 Pu 3.10

Calculated values
Magnetization ... 1.385 μB per atom
Calculated volume ... 366 Å³/cell
E_form ... -0.191 eV/atom
Space group ... F-43m (216)


[7]
PuZrPbAu | GGA-PBE | relaxed

a b c (Å): 7.3023 7.3023 7.3023
angles (deg): 90.00 90.00 90.00
With the nearest neighbours (Å) after each atom.
Sites, in units of the cell vectors:
Pu 0.0000 0.0000 0.0000  4 Pb 3.16, 4 Au 3.16
Pu 0.0000 0.5000 0.5000  4 Pb 3.16, 4 Au 3.16
Pu 0.5000 0.0000 0.5000  4 Pb 3.16, 4 Au 3.16
Pu 0.5000 0.5000 0.0000  4 Pb 3.16, 4 Au 3.16
Zr 0.0000 0.0000 0.5000  4 Pb 3.16, 4 Au 3.16
Zr 0.0000 0.5000 0.0000  4 Pb 3.16, 4 Au 3.16
Zr 0.5000 0.0000 0.0000  4 Pb 3.16, 4 Au 3.16
Zr 0.5000 0.5000 0.5000  4 Pb 3.16, 4 Au 3.16
Pb 0.2500 0.2500 0.2500  4 Zr 3.16, 4 Pu 3.16
Pb 0.2500 0.7500 0.7500  4 Zr 3.16, 4 Pu 3.16
Pb 0.7500 0.2500 0.7500  4 Zr 3.16, 4 Pu 3.16
Pb 0.7500 0.7500 0.2500  4 Zr 3.16, 4 Pu 3.16
Au 0.2500 0.2500 0.7500  4 Zr 3.16, 4 Pu 3.16
Au 0.2500 0.7500 0.2500  4 Zr 3.16, 4 Pu 3.16
Au 0.7500 0.2500 0.2500  4 Zr 3.16, 4 Pu 3.16
Au 0.7500 0.7500 0.7500  4 Pu 3.16, 4 Zr 3.16

Calculated values
Magnetization ... 1.785 μB per atom
Calculated volume ... 389 Å³/cell
E_form ... -0.190 eV/atom
Space group ... F-43m (216)


[8]
Rb12PbAu6 | GGA-PBE | relaxed

a b c (Å): 10.5821 10.5821 10.5821
angles (deg): 109.47 109.47 109.47
With the nearest neighbours (Å) after each atom.
Sites, in units of the cell vectors:
Rb 0.1272 0.3030 0.8241  3 Au 3.48-3.54
Rb 0.1759 0.4789 0.3030  3 Au 3.48-3.54
Rb 0.1759 0.8728 0.6970  3 Au 3.48-3.54
Rb 0.3030 0.1759 0.4789  3 Au 3.48-3.54
Rb 0.3030 0.8241 0.1272  3 Au 3.48-3.54
Rb 0.4789 0.3030 0.1759  3 Au 3.48-3.54
Rb 0.5211 0.6970 0.8241  3 Au 3.48-3.54
Rb 0.6970 0.1759 0.8728  3 Au 3.48-3.54
Rb 0.6970 0.8241 0.5211  3 Au 3.48-3.54
Rb 0.8241 0.1272 0.3030  3 Au 3.48-3.54
Rb 0.8241 0.5211 0.6970  3 Au 3.48-3.54
Rb 0.8728 0.6970 0.1759  3 Au 3.48-3.54
Pb 0.0000 0.0000 0.0000  12 Rb 4.28
Au 0.1188 0.5000 0.6188  1 Au 2.90
Au 0.3812 0.8812 0.5000  1 Au 2.90
Au 0.5000 0.3812 0.8812  1 Au 2.90
Au 0.5000 0.6188 0.1188  1 Au 2.90
Au 0.6188 0.1188 0.5000  1 Au 2.90
Au 0.8812 0.5000 0.3812  1 Au 2.90

Calculated values
Magnetization ... 0.000 μB per atom
Calculated volume ... 912 Å³/cell
E_form ... -0.204 eV/atom
Space group ... Im-3 (204)


[9]
Rb3Pb8Au3 | GGA-PBE | relaxed

a b c (Å): 10.0087 10.0087 10.0087
angles (deg): 149.99 106.04 81.82
With the nearest neighbours (Å) after each atom.
Sites, in units of the cell vectors:
Rb 0.0000 0.0000 0.0000  4 Au 3.80, 12 Pb 3.87-4.07
Rb 0.3369 0.3369 0.0000  2 Au 3.58, 8 Pb 3.71-3.92
Rb 0.6631 0.6631 0.0000  2 Au 3.58, 8 Pb 3.71-3.92
Pb 0.0396 0.6763 0.3633  1 Au 2.90
Pb 0.1775 0.8884 0.2891  3 Au 3.05-3.17, 4 Pb 3.32-3.38
Pb 0.3129 0.6763 0.6367  1 Au 2.90
Pb 0.4006 0.1116 0.2891  3 Au 3.05-3.17, 4 Pb 3.32-3.38
Pb 0.5994 0.8884 0.7109  3 Au 3.05-3.17, 4 Pb 3.32-3.38
Pb 0.6871 0.3237 0.3633  1 Au 2.90
Pb 0.8225 0.1116 0.7109  3 Au 3.05-3.17, 4 Pb 3.32-3.38
Pb 0.9604 0.3237 0.6367  1 Au 2.90
Au 0.2312 0.5000 0.7312  6 Pb 2.90-3.17
Au 0.5000 0.0000 0.5000  4 Pb 3.05
Au 0.7688 0.5000 0.2688  6 Pb 2.90-3.17

Calculated values
Magnetization ... 0.000 μB per atom
Offset from the most stable computed form ... 0.3 kJ per mole of atoms
Calculated volume ... 472 Å³/cell
E_form ... -0.109 eV/atom
Space group ... Immm (71)


[10]
Rb3Pb8Au3 | GGA-PBE | relaxed

a b c (Å): 9.7116 9.7116 10.9034
angles (deg): 123.92 123.92 31.99
With the nearest neighbours (Å) after each atom.
Sites, in units of the cell vectors:
Rb 0.0000 0.0000 0.0000  8 Pb 3.72-3.90, 4 Au 3.97
Rb 0.2875 0.2875 0.2833  10 Pb 3.63-3.84, 3 Au 3.75-3.76
Rb 0.7125 0.7125 0.7167  10 Pb 3.63-3.84, 3 Au 3.75-3.76
Pb 0.1484 0.1484 0.4393  1 Au 3.20, 5 Pb 3.27-3.53
Pb 0.1491 0.1491 0.8610  4 Au 3.02-3.24
Pb 0.3521 0.3521 0.7367  1 Au 3.01, 4 Pb 3.26-3.29
Pb 0.4996 0.4996 0.3315  3 Au 3.01-3.24, 1 Pb 3.26
Pb 0.5004 0.5004 0.6685  3 Au 3.01-3.24, 1 Pb 3.26
Pb 0.6479 0.6479 0.2633  1 Au 3.01, 4 Pb 3.26-3.29
Pb 0.8509 0.8509 0.1390  4 Au 3.02-3.24
Pb 0.8516 0.8516 0.5607  1 Au 3.20, 5 Pb 3.27-3.53
Au 0.0000 0.0000 0.5000  8 Pb 3.20-3.24
Au 0.3445 0.3445 0.0053  5 Pb 3.01-3.02
Au 0.6555 0.6555 0.9947  5 Pb 3.01-3.02

Calculated values
Magnetization ... 0.000 μB per atom
Offset from the most stable computed form ... 0.0 kJ per mole of atoms
Calculated volume ... 444 Å³/cell
E_form ... -0.111 eV/atom
Space group ... C2/m (12)


[11]
Rb2Pb4Au5 | GGA-PBE | relaxed

a b c (Å): 10.5360 9.1794 6.9970
angles (deg): 80.04 59.11 40.85
With the nearest neighbours (Å) after each atom.
Sites, in units of the cell vectors:
Rb 0.1312 0.1312 0.8688  6 Pb 3.89-4.15, 10 Au 4.02-4.16
Rb 0.8688 0.8688 0.1312  6 Pb 3.89-4.15, 10 Au 4.02-4.16
Pb 0.2120 0.5384 0.4616  5 Au 2.91-2.93
Pb 0.4616 0.7880 0.2120  5 Au 2.91-2.93
Pb 0.5384 0.2120 0.7880  5 Au 2.91-2.93
Pb 0.7880 0.4616 0.5384  5 Au 2.91-2.93
Au 0.0000 0.0000 0.5000  4 Pb 2.91
Au 0.2500 0.2500 0.2500  4 Pb 2.92
Au 0.5000 0.5000 0.0000  4 Pb 2.91
Au 0.5000 0.5000 0.5000  4 Pb 2.93
Au 0.7500 0.7500 0.7500  4 Pb 2.92

Calculated values
Magnetization ... 0.000 μB per atom
Calculated volume ... 351 Å³/cell
E_form ... -0.130 eV/atom
Space group ... Fmmm (69)


- Which value of magnetization does entry 4 give?
  1.465 μB per atom


- Among the records above, which one has the lowest E_form?
  YPuPbAu